1.
Density functional theory data (PBE-GGA) for a relaxed structure of Tb12Co2Bi5.

Lattice parameters (Å, degrees): 9.6299 9.6299 9.5969 105.07 105.07 46.39
Fractional coordinates of all 19 atoms:
Tb 0.9996 0.9996 0.1684
Tb 0.0004 0.0004 0.8316
Tb 0.1066 0.5910 0.9229
Tb 0.1202 0.5995 0.4434
Tb 0.4005 0.8798 0.5566
Tb 0.4090 0.8934 0.0771
Tb 0.4969 0.4969 0.7734
Tb 0.5031 0.5031 0.2266
Tb 0.5910 0.1066 0.9229
Tb 0.5995 0.1202 0.4434
Tb 0.8798 0.4005 0.5566
Tb 0.8934 0.4090 0.0771
Co 0.2908 0.7092 0.0000
Co 0.7092 0.2908 0.0000
Bi 0.0000 0.0000 0.5000
Bi 0.2861 0.2861 0.6379
Bi 0.3042 0.3042 0.1672
Bi 0.6958 0.6958 0.8328
Bi 0.7139 0.7139 0.3621

Output
crystal system = monoclinic
DFT total energy = -5.0640 eV per atom
energy of formation from the pure elements = -0.370 eV/atom
magnetic moment = 0.00 μB/f.u.

=====

2.
Density functional theory data (PBE-GGA) for a relaxed structure of Tb4CoBi2.

Lattice parameters (Å, degrees): 6.7005 6.6692 9.4663 90.00 110.44 90.00
Fractional coordinates of all 14 atoms:
Tb 0.0307 0.0007 0.2610
Tb 0.0307 0.4993 0.2610
Tb 0.3739 0.7500 0.0803
Tb 0.4130 0.7500 0.6116
Tb 0.5870 0.2500 0.3884
Tb 0.6261 0.2500 0.9197
Tb 0.9693 0.5007 0.7390
Tb 0.9693 0.9993 0.7390
Co 0.3445 0.7500 0.3310
Co 0.6555 0.2500 0.6690
Bi 0.2302 0.2500 0.0476
Bi 0.2339 0.2500 0.5698
Bi 0.7661 0.7500 0.4302
Bi 0.7698 0.7500 0.9524

Output
crystal system = monoclinic
excess energy over the best structure of this formula in the dataset = 48 meV per atom
DFT total energy = -5.2182 eV per atom
energy of formation from the pure elements = -0.448 eV/atom
magnetic moment = 0.00 μB/f.u.

=====

3.
Density functional theory data (PBE-GGA) for a relaxed structure of Tb4CoBi2.

Lattice parameters (Å, degrees): 4.9717 4.9717 16.5923 90.00 90.00 90.00
Fractional coordinates of all 14 atoms:
Tb 0.0000 0.0000 0.1668
Tb 0.0000 0.0000 0.8332
Tb 0.0000 0.5000 0.0000
Tb 0.0000 0.5000 0.5000
Tb 0.5000 0.0000 0.0000
Tb 0.5000 0.0000 0.5000
Tb 0.5000 0.5000 0.3332
Tb 0.5000 0.5000 0.6668
Co 0.0000 0.0000 0.0000
Co 0.5000 0.5000 0.5000
Bi 0.0000 0.0000 0.3582
Bi 0.0000 0.0000 0.6418
Bi 0.5000 0.5000 0.1418
Bi 0.5000 0.5000 0.8582

Output
crystal system = tetragonal
excess energy over the best structure of this formula in the dataset = 0 meV per atom
DFT total energy = -5.2663 eV per atom
energy of formation from the pure elements = -0.497 eV/atom
magnetic moment = 0.00 μB/f.u.